[1]
First-principles (GGA-PBE) data for an optimized crystal structure of Pr2NpTiN5, as listed in Alexandria.

a b c (Å): 7.2263 7.2263 10.5767
angles (deg): 90.00 90.00 151.95
Positions (direct):
Pr 0.1068 0.8932 0.5000
Pr 0.1349 0.8651 0.1015
Pr 0.8651 0.1349 0.6015
Pr 0.8932 0.1068 0.0000
Np 0.2122 0.7878 0.8158
Np 0.7878 0.2122 0.3158
Ti 0.4861 0.5139 0.2716
Ti 0.5139 0.4861 0.7716
N 0.0527 0.9473 0.8426
N 0.2810 0.7190 0.4483
N 0.3077 0.6923 0.1914
N 0.3741 0.6259 0.8116
N 0.4946 0.5054 0.5947
N 0.5054 0.4946 0.0947
N 0.6259 0.3741 0.3116
N 0.6923 0.3077 0.6914
N 0.7190 0.2810 0.9483
N 0.9473 0.0527 0.3426

Output
As for the total energy: -9.303 eV per atom.

***

[2]
First-principles (GGA-PBE) data for an optimized crystal structure of PrNpTiN3, as listed in Alexandria.

a b c (Å): 7.2457 3.5487 7.7789
angles (deg): 90.00 97.44 90.00
Positions (direct):
Pr 0.1605 0.2500 0.1697
Pr 0.8395 0.7500 0.8303
Np 0.3641 0.7500 0.8369
Np 0.6359 0.2500 0.1631
Ti 0.1088 0.2500 0.5960
Ti 0.8912 0.7500 0.4040
N 0.1214 0.2500 0.8503
N 0.1667 0.7500 0.5037
N 0.4181 0.7500 0.1211
N 0.5819 0.2500 0.8789
N 0.8333 0.2500 0.4963
N 0.8786 0.7500 0.1497

Output
As for the total energy: -9.529 eV per atom.

***

[3]
First-principles (GGA-PBE) data for an optimized crystal structure of PrTm2NpN4, as listed in Alexandria.

a b c (Å): 6.7561 6.7561 10.8497
angles (deg): 90.00 90.00 150.77
Positions (direct):
Pr 0.2319 0.7681 0.7500
Pr 0.7681 0.2319 0.2500
Tm 0.3725 0.6275 0.0129
Tm 0.3725 0.6275 0.4871
Tm 0.6275 0.3725 0.5129
Tm 0.6275 0.3725 0.9871
Np 0.0350 0.9650 0.2500
Np 0.9650 0.0350 0.7500
N 0.0000 0.0000 0.0000
N 0.0000 0.0000 0.5000
N 0.2008 0.7992 0.1079
N 0.2008 0.7992 0.3921
N 0.4229 0.5771 0.2500
N 0.5771 0.4229 0.7500
N 0.7992 0.2008 0.6079
N 0.7992 0.2008 0.8921

Output
As for the total energy: -8.718 eV per atom.

***

[4]
First-principles (GGA-PBE) data for an optimized crystal structure of Pr2NpVN5, as listed in Alexandria.

a b c (Å): 7.1522 7.1522 10.5368
angles (deg): 90.00 90.00 151.74
Positions (direct):
Pr 0.1074 0.8926 0.5000
Pr 0.1396 0.8604 0.1122
Pr 0.8604 0.1396 0.6122
Pr 0.8926 0.1074 0.0000
Np 0.2068 0.7932 0.8202
Np 0.7932 0.2068 0.3202
V 0.4891 0.5109 0.2722
V 0.5109 0.4891 0.7722
N 0.0416 0.9584 0.8414
N 0.2840 0.7160 0.4549
N 0.3131 0.6869 0.1953
N 0.3736 0.6264 0.8151
N 0.4925 0.5075 0.6045
N 0.5075 0.4925 0.1045
N 0.6264 0.3736 0.3151
N 0.6869 0.3131 0.6953
N 0.7160 0.2840 0.9549
N 0.9584 0.0416 0.3414

Output
As for the total energy: -9.320 eV per atom.

***

[5]
First-principles (GGA-PBE) data for an optimized crystal structure of Pr2NpWN5, as listed in Alexandria.

a b c (Å): 7.1425 7.1425 10.6780
angles (deg): 90.00 90.00 151.30
Positions (direct):
Pr 0.1074 0.8926 0.5000
Pr 0.1451 0.8549 0.1211
Pr 0.8549 0.1451 0.6211
Pr 0.8926 0.1074 0.0000
Np 0.2084 0.7916 0.8288
Np 0.7916 0.2084 0.3288
W 0.4770 0.5230 0.2729
W 0.5230 0.4770 0.7729
N 0.0398 0.9602 0.8532
N 0.2825 0.7175 0.4636
N 0.3211 0.6789 0.2053
N 0.3702 0.6298 0.8174
N 0.4899 0.5101 0.6030
N 0.5101 0.4899 0.1030
N 0.6298 0.3702 0.3174
N 0.6789 0.3211 0.7053
N 0.7175 0.2825 0.9636
N 0.9602 0.0398 0.3532

Output
As for the total energy: -9.613 eV per atom.

***

[6]
First-principles (GGA-PBE) data for an optimized crystal structure of PrYNpN3, as listed in Alexandria.

a b c (Å): 7.2865 3.6421 8.6788
angles (deg): 90.00 98.96 90.00
Positions (direct):
Pr 0.1693 0.2500 0.1390
Pr 0.8307 0.7500 0.8610
Y 0.3687 0.7500 0.8517
Y 0.6313 0.2500 0.1483
Np 0.0577 0.2500 0.5915
Np 0.9423 0.7500 0.4085
N 0.1037 0.2500 0.8472
N 0.2194 0.7500 0.5885
N 0.3996 0.7500 0.1227
N 0.6004 0.2500 0.8773
N 0.7806 0.2500 0.4115
N 0.8963 0.7500 0.1528

Output
As for the total energy: -9.213 eV per atom.

***

[7]
First-principles (GGA-PBE) data for an optimized crystal structure of Pr2Y3NpN6, as listed in Alexandria.

a b c (Å): 6.1358 6.1358 6.0987
angles (deg): 99.63 99.63 119.99
Positions (direct):
Pr 0.1669 0.8331 0.0000
Pr 0.8331 0.1669 0.0000
Y 0.0000 0.0000 0.5000
Y 0.3341 0.6659 0.5000
Y 0.6659 0.3341 0.5000
Np 0.5000 0.5000 0.0000
N 0.1081 0.4158 0.7484
N 0.2780 0.2780 0.2450
N 0.4158 0.1081 0.7484
N 0.5842 0.8919 0.2516
N 0.7220 0.7220 0.7550
N 0.8919 0.5842 0.2516

Output
As for the total energy: -9.107 eV per atom.

***

[8]
First-principles (GGA-PBE) data for an optimized crystal structure of Pr3Y2NpN6, as listed in Alexandria.

a b c (Å): 6.1241 6.1241 6.2161
angles (deg): 99.46 99.46 119.96
Positions (direct):
Pr 0.0000 0.0000 0.0000
Pr 0.3315 0.6685 0.0000
Pr 0.6685 0.3315 0.0000
Y 0.1664 0.8336 0.5000
Y 0.8336 0.1664 0.5000
Np 0.5000 0.5000 0.5000
N 0.1168 0.4271 0.2815
N 0.2628 0.2628 0.7221
N 0.4271 0.1168 0.2815
N 0.5729 0.8832 0.7185
N 0.7372 0.7372 0.2779
N 0.8832 0.5729 0.7185

Output
As for the total energy: -8.934 eV per atom.

***

Please write out number 6 again, unchanged.
First-principles (GGA-PBE) data for an optimized crystal structure of PrYNpN3, as listed in Alexandria.

a b c (Å): 7.2865 3.6421 8.6788
angles (deg): 90.00 98.96 90.00
Positions (direct):
Pr 0.1693 0.2500 0.1390
Pr 0.8307 0.7500 0.8610
Y 0.3687 0.7500 0.8517
Y 0.6313 0.2500 0.1483
Np 0.0577 0.2500 0.5915
Np 0.9423 0.7500 0.4085
N 0.1037 0.2500 0.8472
N 0.2194 0.7500 0.5885
N 0.3996 0.7500 0.1227
N 0.6004 0.2500 0.8773
N 0.7806 0.2500 0.4115
N 0.8963 0.7500 0.1528

Output
As for the total energy: -9.213 eV per atom.

***

Number 7 is which compound? Pr2Y3NpN6